# 1
A plane-wave DFT calculation with PBE was carried out for crystalline NaNpHg2 at its relaxed geometry.

Electronic total energy = -3.6656 eV/atom
DFT formation energy = 19 kJ/mol of formula units

Cell lengths 3.020, 5.733, 5.733 Å; angles 90.00, 90.00, 90.00 degrees
Sites, in units of the cell vectors:
Hg: 0.000 0.000 0.500
Hg: 0.000 0.500 0.000
Np: 0.500 0.000 0.000
Na: 0.500 0.500 0.500

# 2
A plane-wave DFT calculation with PBE was carried out for crystalline Tb2P2Rh3 at its relaxed geometry.

Electronic total energy = -7.0751 eV/atom
DFT formation energy = -713 kJ/mol of formula units

Cell lengths 3.743, 5.383, 6.948 Å; angles 112.37, 90.00, 110.35 degrees
Sites, in units of the cell vectors:
Rh: 0.632 0.263 0.432
P: 0.154 0.309 0.226
Tb: 0.131 0.262 0.774
P: 0.846 0.691 0.774
Rh: 0.500 0.000 0.000
Rh: 0.368 0.737 0.568
Tb: 0.869 0.738 0.226

# 3
A plane-wave DFT calculation with PBE was carried out for crystalline LaNdCoPd at its relaxed geometry.

Electronic total energy = -5.8262 eV/atom
DFT formation energy = -126 kJ/mol of formula units

Cell lengths 5.050, 5.050, 5.050 Å; angles 60.00, 60.00, 60.00 degrees
Sites, in units of the cell vectors:
La: 0.750 0.750 0.750
Nd: 0.250 0.250 0.250
Pd: 0.000 0.000 0.000
Co: 0.500 0.500 0.500

# 4
A plane-wave DFT calculation with PBE was carried out for crystalline BaEuNi at its relaxed geometry.

Electronic total energy = -5.9624 eV/atom
DFT formation energy = 9 kJ/mol of formula units

Cell lengths 7.002, 4.308, 4.308 Å; angles 120.00, 90.00, 90.00 degrees
Sites, in units of the cell vectors:
Ba: 0.760 0.667 0.333
Eu: 0.224 0.333 0.667
Ni: 0.016 0.000 0.000

# 5
A plane-wave DFT calculation with PBE was carried out for crystalline Pm6Nd3Dy2Th at its relaxed geometry.

Electronic total energy = -4.9260 eV/atom
DFT formation energy = 31 kJ/mol of formula units

Cell lengths 6.286, 6.286, 12.094 Å; angles 94.98, 94.98, 119.90 degrees
Sites, in units of the cell vectors:
Pm: 0.753 0.753 0.246
Th: 0.000 0.000 0.000
Dy: 0.333 0.667 0.000
Nd: 0.167 0.833 0.500
Pm: 0.247 0.247 0.754
Pm: 0.082 0.412 0.246
Nd: 0.500 0.500 0.500
Nd: 0.833 0.167 0.500
Pm: 0.918 0.588 0.754
Pm: 0.588 0.918 0.754
Pm: 0.412 0.082 0.246
Dy: 0.667 0.333 0.000

# 6
A plane-wave DFT calculation with PBE was carried out for crystalline Zn7Ag2Pd at its relaxed geometry.

Electronic total energy = -1.6693 eV/atom
DFT formation energy = 301 kJ/mol of formula units

Cell lengths 6.691, 6.691, 6.691 Å; angles 60.00, 60.00, 60.00 degrees
Sites, in units of the cell vectors:
Ag: 0.250 0.250 0.250
Pd: 0.000 0.000 0.000
Zn: 0.500 0.500 0.500
Zn: 0.252 0.748 0.252
Zn: 0.748 0.252 0.748
Zn: 0.252 0.252 0.748
Ag: 0.750 0.750 0.750
Zn: 0.252 0.748 0.748
Zn: 0.748 0.252 0.252
Zn: 0.748 0.748 0.252

# 7
A plane-wave DFT calculation with PBE was carried out for crystalline Zr6InPd at its relaxed geometry.

Electronic total energy = -7.6645 eV/atom
DFT formation energy = -202 kJ/mol of formula units

Cell lengths 7.866, 7.866, 5.564 Å; angles 45.00, 45.01, 60.00 degrees
Sites, in units of the cell vectors:
Zr: 0.754 0.000 0.746
Zr: 0.000 0.500 0.254
Zr: 0.499 0.755 0.747
Pd: 0.000 0.000 0.000
In: 0.500 0.500 0.500
Zr: 0.501 0.245 0.253
Zr: 0.000 0.500 0.746
Zr: 0.246 0.000 0.254

# 8
A plane-wave DFT calculation with PBE was carried out for crystalline Tb5Y2Ho6 at its relaxed geometry.

Electronic total energy = -4.7918 eV/atom
DFT formation energy = 121 kJ/mol of formula units

Cell lengths 3.563, 11.620, 20.185 Å; angles 90.00, 90.00, 90.00 degrees
Sites, in units of the cell vectors:
Tb: 0.500 0.801 0.050
Ho: 0.500 0.674 0.866
Ho: 0.500 0.826 0.366
Tb: 0.500 0.699 0.550
Tb: 0.500 0.909 0.774
Tb: 0.500 0.500 0.000
Ho: 0.000 0.059 0.081
Tb: 0.500 0.591 0.274
Ho: 0.500 0.174 0.634
Tb: 0.500 0.199 0.950
Y: 0.000 0.667 0.711
Ho: 0.000 0.941 0.919
Tb: 0.500 0.301 0.450
Ho: 0.500 0.326 0.134
Ho: 0.000 0.441 0.581
Y: 0.000 0.333 0.289
Y: 0.000 0.167 0.789
Ho: 0.000 0.582 0.132
Tb: 0.500 0.409 0.726
Ho: 0.000 0.418 0.868
Ho: 0.000 0.559 0.419
Ho: 0.000 0.082 0.368
Ho: 0.000 0.918 0.632
Y: 0.000 0.833 0.211
Tb: 0.500 0.091 0.226
Tb: 0.500 0.000 0.500

# 9
A plane-wave DFT calculation with PBE was carried out for crystalline LiMg2Zn at its relaxed geometry.

Electronic total energy = -1.6964 eV/atom
DFT formation energy = -39 kJ/mol of formula units

Cell lengths 3.656, 4.506, 4.506 Å; angles 90.00, 90.00, 90.00 degrees
Sites, in units of the cell vectors:
Zn: 0.500 0.000 0.000
Mg: 0.000 0.000 0.500
Mg: 0.000 0.500 0.000
Li: 0.500 0.500 0.500

# 10
A plane-wave DFT calculation with PBE was carried out for crystalline K2ZrBeP at its relaxed geometry.

Electronic total energy = -2.9140 eV/atom
DFT formation energy = 512 kJ/mol of formula units

Cell lengths 5.215, 5.240, 5.215 Å; angles 90.00, 90.00, 90.00 degrees
Sites, in units of the cell vectors:
Be: 0.000 0.000 0.000
P: 0.500 0.500 0.500
K: 0.500 0.000 0.000
Zr: 0.000 0.500 0.000
K: 0.000 0.000 0.500

Among the records above, which one has the lowest DFT formation energy?
Tb2P2Rh3

Among the records above, which one has the lowest DFT formation energy?
Tb2P2Rh3